Entry A
Compound: DyHo4Er5
Source: Alexandria via LeMat-Bulk
Functional: PBE
Structure: optimized geometry

Unit cell a=7.7818 b=7.7818 c=7.7818 alpha=99.22 beta=99.22 gamma=132.80
Fractional positions:
Dy: 0.0000 0.0000 0.0000
Ho: 0.1167 0.8185 0.3950
Ho: 0.4235 0.7217 0.6050
Ho: 0.7217 0.1167 0.2982
Ho: 0.8185 0.4235 0.7018
Er: 0.0387 0.1262 0.6232
Er: 0.1262 0.5031 0.0875
Er: 0.4155 0.0387 0.9125
Er: 0.5031 0.4155 0.3768
Er: 0.5403 0.5403 0.0000


Entry B
Compound: DyHo4Er5
Source: Alexandria via LeMat-Bulk
Functional: PBE
Structure: optimized geometry

Unit cell a=3.5170 b=6.6655 c=13.7852 alpha=97.72 beta=91.10 gamma=104.81
Fractional positions:
Dy: 0.0000 0.0000 0.0000
Ho: 0.1434 0.7116 0.8068
Ho: 0.1551 0.8212 0.2134
Ho: 0.8449 0.1788 0.7866
Ho: 0.8566 0.2884 0.1932
Er: 0.1931 0.8767 0.5841
Er: 0.4721 0.4208 0.6147
Er: 0.5000 0.5000 0.0000
Er: 0.5279 0.5792 0.3853
Er: 0.8069 0.1233 0.4159


Winner for stability: entry B


Entry A
Compound: Dy3Ho4Er8
Source: Alexandria via LeMat-Bulk
Functional: PBE
Structure: optimized geometry

Unit cell a=9.1687 b=9.1687 c=6.6451 alpha=111.24 beta=111.24 gamma=87.94
Fractional positions:
Dy: 0.0000 0.0000 0.0000
Dy: 0.0000 0.5000 0.5000
Dy: 0.5000 0.0000 0.5000
Ho: 0.0000 0.5000 0.0000
Ho: 0.5000 0.0000 0.0000
Ho: 0.5000 0.5000 0.0000
Ho: 0.5000 0.5000 0.5000
Er: 0.1397 0.8603 0.5000
Er: 0.2337 0.2337 0.4938
Er: 0.2342 0.2342 0.9737
Er: 0.2482 0.7518 0.0000
Er: 0.7518 0.2482 0.0000
Er: 0.7658 0.7658 0.0263
Er: 0.7663 0.7663 0.5062
Er: 0.8603 0.1397 0.5000


Entry B
Compound: Dy3Ho4Er8
Source: Alexandria via LeMat-Bulk
Functional: PBE
Structure: optimized geometry

Unit cell a=12.2604 b=12.2604 c=12.2604 alpha=32.44 beta=32.44 gamma=32.44
Fractional positions:
Dy: 0.0000 0.5000 0.5000
Dy: 0.5000 0.0000 0.5000
Dy: 0.5000 0.5000 0.0000
Ho: 0.0000 0.0000 0.0000
Ho: 0.1636 0.1636 0.1636
Ho: 0.5000 0.5000 0.5000
Ho: 0.8364 0.8364 0.8364
Er: 0.2505 0.2505 0.7483
Er: 0.2505 0.7483 0.2505
Er: 0.2517 0.7495 0.7495
Er: 0.2548 0.2548 0.2548
Er: 0.7452 0.7452 0.7452
Er: 0.7483 0.2505 0.2505
Er: 0.7495 0.2517 0.7495
Er: 0.7495 0.7495 0.2517


Winner for stability: entry B


Entry A
Compound: Dy3Ho3Er
Source: Alexandria via LeMat-Bulk
Functional: PBE
Structure: optimized geometry

Unit cell a=14.4732 b=14.4732 c=14.4732 alpha=24.41 beta=24.41 gamma=24.41
Fractional positions:
Dy: 0.1327 0.4638 0.8013
Dy: 0.1987 0.8673 0.5362
Dy: 0.4638 0.8013 0.1327
Dy: 0.5362 0.1987 0.8673
Dy: 0.8013 0.1327 0.4638
Dy: 0.8673 0.5362 0.1987
Ho: 0.0659 0.7322 0.3999
Ho: 0.2678 0.6001 0.9341
Ho: 0.3999 0.0659 0.7322
Ho: 0.6001 0.9341 0.2678
Ho: 0.7322 0.3999 0.0659
Ho: 0.9341 0.2678 0.6001
Er: 0.3333 0.3333 0.3333
Er: 0.6667 0.6667 0.6667


Entry B
Compound: Dy3Ho3Er
Source: Alexandria via LeMat-Bulk
Functional: PBE
Structure: optimized geometry

Unit cell a=9.5015 b=9.5015 c=5.6055 alpha=90.00 beta=90.00 gamma=120.00
Fractional positions:
Dy: 0.0477 0.8088 0.2500
Dy: 0.1912 0.2389 0.2500
Dy: 0.2389 0.0477 0.7500
Dy: 0.7611 0.9523 0.2500
Dy: 0.8088 0.7611 0.7500
Dy: 0.9523 0.1912 0.7500
Ho: 0.0952 0.6191 0.7500
Ho: 0.3809 0.4761 0.7500
Ho: 0.4761 0.0952 0.2500
Ho: 0.5239 0.9048 0.7500
Ho: 0.6191 0.5239 0.2500
Ho: 0.9048 0.3809 0.2500
Er: 0.3333 0.6667 0.2500
Er: 0.6667 0.3333 0.7500


Winner for stability: entry B


Entry A
Compound: DyHoEr2
Source: Alexandria via LeMat-Bulk
Functional: PBE
Structure: optimized geometry

Unit cell a=6.2115 b=7.1878 c=11.1476 alpha=90.00 beta=90.00 gamma=90.00
Fractional positions:
Dy: 0.1673 0.0002 0.1250
Dy: 0.1673 0.9998 0.6250
Dy: 0.8327 0.0002 0.3750
Dy: 0.8327 0.9998 0.8750
Ho: 0.3333 0.2507 0.3753
Ho: 0.3333 0.7492 0.8753
Ho: 0.6667 0.2507 0.1247
Ho: 0.6667 0.7492 0.6247
Er: 0.1672 0.4999 0.1251
Er: 0.1672 0.5001 0.6251
Er: 0.3327 0.2509 0.8747
Er: 0.3327 0.7491 0.3747
Er: 0.6673 0.2509 0.6253
Er: 0.6673 0.7491 0.1253
Er: 0.8328 0.4999 0.3749
Er: 0.8328 0.5001 0.8749


Entry B
Compound: DyHoEr2
Source: Alexandria via LeMat-Bulk
Functional: PBE
Structure: optimized geometry

Unit cell a=3.5108 b=3.5108 c=9.9327 alpha=90.00 beta=90.00 gamma=90.00
Fractional positions:
Dy: 0.0000 0.0000 0.0000
Ho: 0.0000 0.0000 0.5000
Er: 0.5000 0.5000 0.2505
Er: 0.5000 0.5000 0.7495


Entry C
Compound: DyHoEr2
Source: Alexandria via LeMat-Bulk
Functional: PBE
Structure: optimized geometry

Unit cell a=5.6083 b=5.6083 c=5.6083 alpha=60.00 beta=60.00 gamma=60.00
Fractional positions:
Dy: 0.0000 0.0000 0.0000
Ho: 0.5000 0.5000 0.5000
Er: 0.2500 0.2500 0.2500
Er: 0.7500 0.7500 0.7500


Winner for stability: entry A


Entry A
Compound: DyHoEr2
Source: Alexandria via LeMat-Bulk
Functional: PBE
Structure: optimized geometry

Unit cell a=11.4944 b=11.4944 c=11.4944 alpha=17.72 beta=17.72 gamma=17.72
Fractional positions:
Dy: 0.0000 0.0000 0.0000
Ho: 0.8340 0.8340 0.8340
Er: 0.4173 0.4173 0.4173
Er: 0.5831 0.5831 0.5831


Entry B
Compound: DyHoEr2
Source: Alexandria via LeMat-Bulk
Functional: PBE
Structure: optimized geometry

Unit cell a=5.5615 b=7.1807 c=7.1807 alpha=119.88 beta=90.00 gamma=90.00
Fractional positions:
Dy: 0.2500 0.1666 0.8334
Dy: 0.7500 0.8334 0.1666
Ho: 0.2500 0.6662 0.8331
Ho: 0.7500 0.8331 0.6662
Er: 0.2500 0.1670 0.3339
Er: 0.2500 0.6663 0.3340
Er: 0.7500 0.3339 0.1670
Er: 0.7500 0.3340 0.6663


Entry C
Compound: DyHoEr2
Source: Alexandria via LeMat-Bulk
Functional: PBE
Structure: optimized geometry

Unit cell a=4.9677 b=4.9677 c=4.9650 alpha=90.00 beta=90.00 gamma=90.00
Fractional positions:
Dy: 0.0000 0.0000 0.0000
Ho: 0.5000 0.5000 0.0000
Er: 0.0000 0.5000 0.5000
Er: 0.5000 0.0000 0.5000


Winner for stability: entry B


Entry A
Compound: Dy4Ho8Er3
Source: Alexandria via LeMat-Bulk
Functional: PBE
Structure: optimized geometry

Unit cell a=9.1777 b=9.1777 c=6.6660 alpha=111.25 beta=111.25 gamma=87.79
Fractional positions:
Dy: 0.0000 0.0000 0.0000
Dy: 0.0000 0.0000 0.5000
Dy: 0.0000 0.5000 0.0000
Dy: 0.5000 0.0000 0.0000
Ho: 0.2523 0.7477 0.0000
Ho: 0.2663 0.2663 0.5086
Ho: 0.2681 0.2681 0.0316
Ho: 0.3597 0.6403 0.5000
Ho: 0.6403 0.3597 0.5000
Ho: 0.7319 0.7319 0.9684
Ho: 0.7337 0.7337 0.4914
Ho: 0.7477 0.2523 0.0000
Er: 0.0000 0.5000 0.5000
Er: 0.5000 0.0000 0.5000
Er: 0.5000 0.5000 0.0000


Entry B
Compound: Dy4Ho8Er3
Source: Alexandria via LeMat-Bulk
Functional: PBE
Structure: optimized geometry

Unit cell a=12.2887 b=12.2887 c=12.2887 alpha=32.41 beta=32.41 gamma=32.41
Fractional positions:
Dy: 0.0000 0.0000 0.0000
Dy: 0.1636 0.1636 0.1636
Dy: 0.5000 0.5000 0.5000
Dy: 0.8364 0.8364 0.8364
Ho: 0.2503 0.2503 0.7476
Ho: 0.2503 0.7476 0.2503
Ho: 0.2524 0.7497 0.7497
Ho: 0.2550 0.2550 0.2550
Ho: 0.7450 0.7450 0.7450
Ho: 0.7476 0.2503 0.2503
Ho: 0.7497 0.2524 0.7497
Ho: 0.7497 0.7497 0.2524
Er: 0.0000 0.5000 0.5000
Er: 0.5000 0.0000 0.5000
Er: 0.5000 0.5000 0.0000


Winner for stability: entry B